Entry from Alexandria via LeMat-Bulk: NaGe3As after structural relaxation (PBE).

Output
- VASP energy (eV/atom) = -2.862
- energy of formation from the pure elements (meV/atom) = 1101.7
- space-group type = No. 221
- polymorph energy (0 for the lowest one) (meV per atom) = 589

abc: 5.0137 5.0137 5.0137
angles: 90.00 90.00 90.00
Fractional positions:
Na: 0.0000 0.0000 0.0000
As: 0.5000 0.5000 0.5000
Ge: 0.0000 0.5000 0.0000
Ge: 0.0000 0.0000 0.5000
Ge: 0.5000 0.0000 0.0000